1.
ZrSb2Te: optimized geometry, GGA-PBEsol.

Output
calculated total energy	-5.536	eV per atom
E_form (uncorrected)	-0.103	eV/atom

Cell and atoms, written as extended XYZ:
```
8
Lattice="6.040 0.000 0.000 0.000 9.446 0.000 -1.783 0.000 3.606" Properties=species:S:1:pos:R:3 pbc="T T T"
Zr 0.000 0.000 0.000
Zr 3.020 4.723 0.000
Sb 0.619 2.362 1.803
Sb 0.619 7.085 1.803
Sb 3.638 2.362 1.803
Sb 3.638 7.085 1.803
Te 0.000 4.723 0.000
Te 3.020 0.000 0.000
```

***

2.
AgIBrO2: optimized geometry, GGA-PBEsol.

Output
calculated total energy	-3.075	eV per atom
E_form (uncorrected)	0.414	eV/atom

Cell and atoms, written as extended XYZ:
```
5
Lattice="3.896 0.000 0.000 0.000 3.896 0.000 0.000 0.000 7.435" Properties=species:S:1:pos:R:3 pbc="T T T"
Ag 0.000 0.000 0.000
I 1.948 1.948 0.000
Br 1.948 1.948 3.718
O 0.000 1.948 3.718
O 1.948 0.000 3.718
```

***

3.
La2RuCl: optimized geometry, GGA-PBEsol.

Output
energy above the most stable polymorph in this dataset	232	meV per atom
calculated total energy	-6.428	eV per atom
E_form (uncorrected)	-0.709	eV/atom

Cell and atoms, written as extended XYZ:
```
8
Lattice="4.442 0.000 0.000 0.000 5.840 0.000 0.000 0.000 7.184" Properties=species:S:1:pos:R:3 pbc="T T T"
La 0.000 0.000 1.697
La 0.000 0.000 5.487
La 2.221 2.920 1.895
La 2.221 2.920 5.289
Ru 0.000 2.920 3.592
Ru 2.221 0.000 0.000
Cl 0.000 2.920 0.000
Cl 2.221 0.000 3.592
```

***

4.
Y3AlO6: optimized geometry, GGA-PBEsol.

Output
calculated total energy	-9.076	eV per atom
E_form (uncorrected)	-3.470	eV/atom

Cell and atoms, written as extended XYZ:
```
20
Lattice="4.604 2.658 3.510 -4.604 2.658 3.510 0.000 -5.316 3.510" Properties=species:S:1:pos:R:3 pbc="T T T"
Y -2.327 -2.324 4.888
Y -3.177 0.853 5.641
Y 0.849 -3.178 5.641
Y -0.849 3.178 4.888
Y 3.177 -0.853 4.888
Y 2.327 2.324 5.641
Al 0.000 0.000 0.000
Al 0.000 0.000 5.264
O -4.021 -1.211 5.866
O -0.962 -4.088 4.663
O -1.679 -0.227 4.247
O -3.059 2.877 4.663
O -0.643 -1.568 6.282
O 1.036 -1.340 4.247
O -1.036 1.340 6.282
O 0.643 1.568 4.247
O 3.059 -2.877 5.866
O 1.679 0.227 6.282
O 0.962 4.088 5.866
O 4.021 1.211 4.663
```

***

5.
Be2ZnCu: optimized geometry, GGA-PBEsol.

Output
energy relative to the elements	0.097	eV/atom
calculated total energy	-3.382	eV per atom

Cell and atoms, written as extended XYZ:
```
12
Lattice="2.493 0.000 0.000 -1.247 2.159 0.000 0.000 0.000 23.248" Properties=species:S:1:pos:R:3 pbc="T T T"
Be 0.000 0.000 5.711
Be 0.000 0.000 17.537
Be 0.000 1.439 9.787
Be 0.000 1.439 21.210
Be 1.247 0.720 2.038
Be 1.247 0.720 13.461
Zn 0.000 0.000 0.000
Zn 0.000 1.439 15.499
Zn 1.247 0.720 7.749
Cu 0.000 0.000 11.624
Cu 0.000 1.439 3.875
Cu 1.247 0.720 19.374
```

***

6.
AlZnPt: optimized geometry, GGA-PBEsol.

Output
energy relative to the elements	-0.486	eV/atom
calculated total energy	-4.698	eV per atom

Cell and atoms, written as extended XYZ:
```
6
Lattice="2.842 0.000 0.000 0.000 2.842 0.000 0.000 0.000 10.819" Properties=species:S:1:pos:R:3 pbc="T T T"
Al 0.000 0.000 0.000
Al 1.421 1.421 5.410
Zn 0.000 0.000 3.482
Zn 1.421 1.421 8.891
Pt 0.000 0.000 7.044
Pt 1.421 1.421 1.634
```

***

7.
Zr2AgW: optimized geometry, GGA-PBEsol.

Output
energy relative to the elements	0.067	eV/atom
calculated total energy	-8.758	eV per atom

Cell and atoms, written as extended XYZ:
```
4
Lattice="4.674 0.000 0.000 0.000 4.674 0.000 0.000 0.000 3.394" Properties=species:S:1:pos:R:3 pbc="T T T"
Zr 0.000 2.337 0.000
Zr 2.337 0.000 0.000
Ag 0.000 0.000 1.697
W 2.337 2.337 1.697
```

***

8.
ScReBr: optimized geometry, GGA-PBEsol.

Output
calculated total energy	-7.028	eV per atom
E_form (uncorrected)	0.241	eV/atom

Cell and atoms, written as extended XYZ:
```
12
Lattice="3.403 0.000 0.000 0.000 4.827 0.000 0.000 0.000 14.340" Properties=species:S:1:pos:R:3 pbc="T T T"
Sc 0.000 0.000 0.000
Sc 0.000 2.414 7.170
Sc 1.702 0.000 7.170
Sc 1.702 2.414 0.000
Re 0.000 0.000 5.163
Re 0.000 2.414 12.333
Re 1.702 0.000 12.333
Re 1.702 2.414 5.163
Br 0.000 0.000 9.185
Br 0.000 2.414 2.015
Br 1.702 0.000 2.015
Br 1.702 2.414 9.185
```

***

9.
InPS2Cl: optimized geometry, GGA-PBEsol.

Output
calculated total energy	-3.295	eV per atom
E_form (uncorrected)	0.615	eV/atom

Cell and atoms, written as extended XYZ:
```
5
Lattice="4.976 0.000 0.000 0.000 4.976 0.000 0.000 0.000 4.833" Properties=species:S:1:pos:R:3 pbc="T T T"
In 0.000 0.000 0.000
P 2.488 2.488 2.417
S 0.000 2.488 0.000
S 2.488 0.000 0.000
Cl 0.000 0.000 2.417
```

***

10.
CdTc2W: optimized geometry, GGA-PBEsol.

Output
energy relative to the elements	0.350	eV/atom
calculated total energy	-9.034	eV per atom

Cell and atoms, written as extended XYZ:
```
4
Lattice="2.789 0.000 0.000 0.000 3.991 0.000 0.000 0.000 5.627" Properties=species:S:1:pos:R:3 pbc="T T T"
Cd 0.000 0.000 0.000
Tc 0.000 0.000 2.770
Tc 1.395 1.995 1.571
W 1.395 1.995 4.016
```

***

11.
Zr3PtC: optimized geometry, GGA-PBEsol.

Output
energy relative to the elements	1.421	eV/atom
calculated total energy	-7.354	eV per atom

Cell and atoms, written as extended XYZ:
```
5
Lattice="4.986 0.000 0.000 0.000 4.986 0.000 0.000 0.000 4.986" Properties=species:S:1:pos:R:3 pbc="T T T"
Zr 0.000 0.000 2.493
Zr 0.000 2.493 0.000
Zr 2.493 0.000 0.000
Pt 0.000 0.000 0.000
C 2.493 2.493 2.493
```

***

12.
Tl2TeSe: optimized geometry, GGA-PBEsol.

Output
energy above the most stable polymorph in this dataset	111	meV per atom
calculated total energy	-3.230	eV per atom
E_form (uncorrected)	-0.071	eV/atom

Cell and atoms, written as extended XYZ:
```
16
Lattice="7.533 0.000 0.000 0.000 7.533 0.000 0.000 0.000 7.533" Properties=species:S:1:pos:R:3 pbc="T T T"
Tl 1.883 1.883 1.883
Tl 1.883 1.883 5.650
Tl 1.883 5.650 1.883
Tl 1.883 5.650 5.650
Tl 5.650 1.883 1.883
Tl 5.650 1.883 5.650
Tl 5.650 5.650 1.883
Tl 5.650 5.650 5.650
Te 0.000 0.000 0.000
Te 0.000 3.767 3.767
Te 3.767 0.000 3.767
Te 3.767 3.767 0.000
Se 0.000 0.000 3.767
Se 0.000 3.767 0.000
Se 3.767 0.000 0.000
Se 3.767 3.767 3.767
```

***

13.
KS2I: optimized geometry, GGA-PBEsol.

Output
calculated total energy	-2.680	eV per atom
E_form (uncorrected)	0.237	eV/atom

Cell and atoms, written as extended XYZ:
```
16
Lattice="7.267 0.000 0.000 0.000 7.267 0.000 0.000 0.000 7.267" Properties=species:S:1:pos:R:3 pbc="T T T"
K 0.000 0.000 0.000
K 0.000 3.634 3.634
K 3.634 0.000 3.634
K 3.634 3.634 0.000
S 1.817 1.817 1.817
S 1.817 1.817 5.450
S 1.817 5.450 1.817
S 1.817 5.450 5.450
S 5.450 1.817 1.817
S 5.450 1.817 5.450
S 5.450 5.450 1.817
S 5.450 5.450 5.450
I 0.000 0.000 3.634
I 0.000 3.634 0.000
I 3.634 0.000 0.000
I 3.634 3.634 3.634
```

***

14.
Sr7CoN6: optimized geometry, GGA-PBEsol.

Output
calculated total energy	-5.699	eV per atom
E_form (uncorrected)	-0.571	eV/atom

Cell and atoms, written as extended XYZ:
```
56
Lattice="11.516 0.000 0.000 0.000 6.564 0.000 0.000 0.000 13.470" Properties=species:S:1:pos:R:3 pbc="T T T"
Sr 0.000 0.409 3.368
Sr 0.000 6.154 10.103
Sr 0.451 1.553 7.039
Sr 0.451 5.010 0.304
Sr 2.345 2.537 1.758
Sr 2.345 4.027 8.493
Sr 2.545 2.365 11.812
Sr 2.545 4.199 5.077
Sr 3.213 0.917 5.077
Sr 3.213 5.647 11.812
Sr 3.413 0.745 8.493
Sr 3.413 5.819 1.758
Sr 5.307 1.728 0.304
Sr 5.307 4.835 7.039
Sr 5.758 2.872 10.103
Sr 5.758 3.691 3.368
Sr 6.209 1.728 6.431
Sr 6.209 4.835 13.166
Sr 8.103 0.745 11.712
Sr 8.103 5.819 4.977
Sr 8.303 0.917 1.658
Sr 8.303 5.647 8.393
Sr 8.970 2.365 8.393
Sr 8.970 4.199 1.658
Sr 9.170 2.537 4.977
Sr 9.170 4.027 11.712
Sr 11.065 1.553 13.166
Sr 11.065 5.010 6.431
Co 0.000 2.800 10.103
Co 0.000 3.764 3.368
Co 5.758 0.482 3.368
Co 5.758 6.082 10.103
N 0.480 2.683 4.740
N 0.480 3.881 11.475
N 1.383 1.742 9.591
N 1.383 4.822 2.856
N 1.918 0.605 0.028
N 1.918 5.959 6.763
N 3.839 2.677 6.763
N 3.839 3.887 0.028
N 4.375 1.540 2.856
N 4.375 5.024 9.591
N 5.278 0.599 11.475
N 5.278 5.965 4.740
N 6.237 0.599 8.730
N 6.237 5.965 1.995
N 7.141 1.540 3.879
N 7.141 5.024 10.614
N 7.676 2.677 13.442
N 7.676 3.887 6.707
N 9.597 0.605 6.707
N 9.597 5.959 13.442
N 10.132 1.742 10.614
N 10.132 4.822 3.879
N 11.036 2.683 1.995
N 11.036 3.881 8.730
```

***

15.
Mg2TlPb: optimized geometry, GGA-PBEsol.

Output
energy above the most stable polymorph in this dataset	18	meV per atom
energy relative to the elements	-0.069	eV/atom
calculated total energy	-2.585	eV per atom

Cell and atoms, written as extended XYZ:
```
12
Lattice="3.427 0.000 0.000 -1.714 2.968 0.000 0.000 0.000 29.280" Properties=species:S:1:pos:R:3 pbc="T T T"
Mg 0.000 0.000 7.234
Mg 0.000 0.000 22.046
Mg 0.000 1.979 12.286
Mg 0.000 1.979 26.754
Mg 1.714 0.989 2.526
Mg 1.714 0.989 16.994
Tl 0.000 0.000 14.640
Tl 0.000 1.979 4.880
Tl 1.714 0.989 24.400
Pb 0.000 0.000 0.000
Pb 0.000 1.979 19.520
Pb 1.714 0.989 9.760
```

***

16.
RbMg2BeSn: optimized geometry, GGA-PBEsol.

Output
energy relative to the elements	1.752	eV/atom
calculated total energy	-0.791	eV per atom

Cell and atoms, written as extended XYZ:
```
5
Lattice="6.810 0.000 0.000 0.000 6.810 0.000 0.000 0.000 6.661" Properties=species:S:1:pos:R:3 pbc="T T T"
Rb 0.000 0.000 0.000
Mg 0.000 3.405 0.000
Mg 3.405 0.000 0.000
Be 3.405 3.405 3.330
Sn 0.000 0.000 3.330
```

***

17.
CuTcPt2: optimized geometry, GGA-PBEsol.

Output
energy above the most stable polymorph in this dataset	107	meV per atom
energy relative to the elements	-0.095	eV/atom
calculated total energy	-7.477	eV per atom

Cell and atoms, written as extended XYZ:
```
12
Lattice="2.721 0.000 0.000 -1.360 2.356 0.000 0.000 0.000 26.009" Properties=species:S:1:pos:R:3 pbc="T T T"
Cu 0.000 0.000 0.000
Cu 0.000 1.571 17.339
Cu 1.360 0.785 8.670
Tc 0.000 0.000 13.005
Tc 0.000 1.571 4.335
Tc 1.360 0.785 21.674
Pt 0.000 0.000 6.537
Pt 0.000 0.000 19.472
Pt 0.000 1.571 10.802
Pt 0.000 1.571 23.877
Pt 1.360 0.785 2.132
Pt 1.360 0.785 15.207
```

***

18.
KZrTl: optimized geometry, GGA-PBEsol.

Output
energy relative to the elements	0.353	eV/atom
calculated total energy	-3.932	eV per atom

Cell and atoms, written as extended XYZ:
```
6
Lattice="3.245 0.000 0.000 0.000 3.245 0.000 0.000 0.000 16.212" Properties=species:S:1:pos:R:3 pbc="T T T"
K 0.000 0.000 0.000
K 1.622 1.622 8.106
Zr 0.000 0.000 4.751
Zr 1.622 1.622 12.858
Tl 0.000 0.000 10.809
Tl 1.622 1.622 2.703
```

***

19.
KMg2Al2: optimized geometry, GGA-PBEsol.

Output
energy relative to the elements	0.120	eV/atom
calculated total energy	-2.430	eV per atom

Cell and atoms, written as extended XYZ:
```
10
Lattice="8.993 0.000 0.000 0.000 8.993 0.000 0.000 0.000 2.927" Properties=species:S:1:pos:R:3 pbc="T T T"
K 0.000 0.000 0.000
K 4.496 4.496 0.000
Mg 1.233 3.263 1.463
Mg 3.263 7.760 1.463
Mg 5.730 1.233 1.463
Mg 7.760 5.730 1.463
Al 1.383 5.879 0.000
Al 3.113 1.383 0.000
Al 5.879 7.610 0.000
Al 7.610 3.113 0.000
```

***

20.
BaLiH3: optimized geometry, GGA-PBEsol.

Output
calculated total energy	-3.344	eV per atom

Cell and atoms, written as extended XYZ:
```
5
Lattice="3.958 0.000 0.000 0.000 3.958 0.000 0.000 0.000 3.958" Properties=species:S:1:pos:R:3 pbc="T T T"
Ba 0.000 0.000 0.000
Li 1.979 1.979 1.979
H 0.000 1.979 1.979
H 1.979 0.000 1.979
H 1.979 1.979 0.000
```

***

In order of appearance, magnetic moment = 0.00, 0.00, 0.00, 0.00, 0.00, 0.00, 0.00, 0.00, 0.21, 0.00, 0.00, 0.00, 0.16, 0.00, 0.00, 0.54, 0.00, 0.00, 0.00, 0.00 μB per atom.